# 1
This record from the Alexandria database describes crystalline PrMg3Co at its relaxed geometry. The functional is PBE. Values from VASP.

Output
* energy of formation: 0.07 eV/atom

```
&SYSTEM
  ibrav = 0, nat = 5, ntyp = 3
/
ATOMIC_SPECIES
Pr 140.91 Pr.upf
Mg 24.30 Mg.upf
Co 58.93 Co.upf
CELL_PARAMETERS angstrom
4.868 0.000 0.000
0.000 4.868 0.000
0.000 0.000 4.868
ATOMIC_POSITIONS crystal
Pr 0.500 0.500 0.500
Mg 0.000 0.500 0.000
Mg 0.000 0.000 0.500
Mg 0.500 0.000 0.000
Co 0.000 0.000 0.000
```

# 2
This record from the Alexandria database describes crystalline Sr3Tl at its relaxed geometry. The functional is PBE. Values from VASP.

Output
* energy of formation: -0.14 eV/atom

```
&SYSTEM
  ibrav = 0, nat = 4, ntyp = 2
/
ATOMIC_SPECIES
Sr 87.62 Sr.upf
Tl 204.38 Tl.upf
CELL_PARAMETERS angstrom
12.456 0.046 0.027
11.734 4.179 0.027
11.734 2.049 3.642
ATOMIC_POSITIONS crystal
Sr 0.735 0.735 0.735
Sr 0.500 0.500 0.500
Sr 0.265 0.265 0.265
Tl 0.000 0.000 0.000
```

# 3
This record from the Alexandria database describes crystalline Nd2HoSnC at its relaxed geometry. The functional is PBE. Values from VASP.

Output
* energy of formation: -0.52 eV/atom

```
&SYSTEM
  ibrav = 0, nat = 5, ntyp = 4
/
ATOMIC_SPECIES
Nd 144.24 Nd.upf
Ho 164.93 Ho.upf
Sn 118.71 Sn.upf
C 12.01 C.upf
CELL_PARAMETERS angstrom
4.882 0.000 0.000
0.000 5.111 0.000
0.000 0.000 5.111
ATOMIC_POSITIONS crystal
Nd 0.000 0.000 0.500
Nd 0.000 0.500 0.000
Ho 0.500 0.000 0.000
Sn 0.500 0.500 0.500
C 0.000 0.000 0.000
```

# 4
This record from the Alexandria database describes crystalline ZrTa2Ag at its relaxed geometry. The functional is PBE. Values from VASP.

Output
* energy of formation: 0.23 eV/atom
* polymorph energy (0 for the lowest one): 135 meV per atom

```
&SYSTEM
  ibrav = 0, nat = 4, ntyp = 3
/
ATOMIC_SPECIES
Ag 107.87 Ag.upf
Ta 180.95 Ta.upf
Zr 91.22 Zr.upf
CELL_PARAMETERS angstrom
2.862 0.073 0.000
-0.662 2.786 0.000
0.000 0.000 9.488
ATOMIC_POSITIONS crystal
Ag 0.500 0.500 0.750
Ta 0.000 0.000 0.994
Ta 0.000 0.000 0.506
Zr 0.500 0.500 0.250
```

# 5
This record from the Alexandria database describes crystalline Cr3SnOs at its relaxed geometry. The functional is PBE. Values from VASP.

Output
* energy of formation: 1.11 eV/atom
* polymorph energy (0 for the lowest one): 0 meV per atom

```
&SYSTEM
  ibrav = 0, nat = 5, ntyp = 3
/
ATOMIC_SPECIES
Cr 52.00 Cr.upf
Os 190.23 Os.upf
Sn 118.71 Sn.upf
CELL_PARAMETERS angstrom
4.715 0.000 0.000
0.000 4.715 0.000
0.000 0.000 4.715
ATOMIC_POSITIONS crystal
Cr 0.000 0.500 0.000
Cr 0.000 0.000 0.500
Cr 0.500 0.000 0.000
Os 0.000 0.000 0.000
Sn 0.500 0.500 0.500
```

# 6
This record from the Alexandria database describes crystalline BaNbO3 at its relaxed geometry. The functional is PBE. Values from VASP.

Output
* ΔE_f (raw): -1.811 eV/atom

```
&SYSTEM
  ibrav = 0, nat = 10, ntyp = 3
/
ATOMIC_SPECIES
Nb 92.91 Nb.upf
Ba 137.33 Ba.upf
O 16.00 O.upf
CELL_PARAMETERS angstrom
3.619 -2.090 0.000
0.000 4.179 0.000
0.000 0.000 8.954
ATOMIC_POSITIONS crystal
Nb 0.000 0.000 0.000
Nb 0.000 0.000 0.500
Ba 0.333 0.667 0.750
Ba 0.667 0.333 0.250
O 0.000 0.000 0.250
O 0.000 0.000 0.750
O 0.333 0.667 0.043
O 0.333 0.667 0.457
O 0.667 0.333 0.543
O 0.667 0.333 0.957
```

Number 1: total energy -16.3 eV/cell. Number 2: total energy -8.0 eV/cell. Number 3: total energy -29.9 eV/cell. Number 4: total energy -34.2 eV/cell. Number 5: total energy -38.5 eV/cell. Number 6: total energy -71.8 eV/cell.